Computed, not measured: an optimized crystal structure of FeH6Rh5 at the PBE-GGA level of DFT.

extended XYZ file:
```
12
Lattice="4.9103 0.0000 0.0000 1.6434 4.6379 0.0000 0.8267 2.3114 4.2864" Properties=species:S:1:pos:R:3 pbc="T T T"
Fe 0.0000 0.0000 0.0000
H 3.2743 5.7678 2.7830
H 2.4569 3.4451 1.4998
H 2.4900 3.5168 4.2795
H 4.8904 3.4326 0.0069
H 4.9235 3.5042 2.7867
H 4.1061 1.1816 1.5034
Rh 0.8231 2.3148 1.4199
Rh 6.5573 4.6346 2.8666
Rh 3.2785 2.3145 2.8898
Rh 3.2769 2.3190 0.0000
Rh 4.1019 4.6348 1.3966
```

Computed properties:
Calculated total energy (eV/atom): -5.44
Crystal system: triclinic

Computed, not measured: an optimized crystal structure of BeRhSe2 at the PBE-GGA level of DFT.

extended XYZ file:
```
4
Lattice="3.1050 0.0000 0.0000 0.0000 3.1050 0.0000 0.0000 0.0000 6.3540" Properties=species:S:1:pos:R:3 pbc="T T T"
Be 0.0000 0.0000 0.0000
Rh 0.0000 0.0000 3.1770
Se 1.5525 1.5525 1.5236
Se 1.5525 1.5525 4.8304
```

Computed properties:
Calculated total energy (eV/atom): -4.23
Energy relative to the elements, uncorrected (meV per atom): 282
Crystal system: tetragonal

Computed, not measured: an optimized crystal structure of BPIrAu at the PBE-GGA level of DFT.

extended XYZ file:
```
4
Lattice="6.3038 -1.6582 0.0000 6.3038 1.6582 0.0000 -0.8158 0.0000 3.2500" Properties=species:S:1:pos:R:3 pbc="T T T"
B 0.0000 0.0000 0.0000
P 3.2900 0.0000 0.9185
Ir 4.3926 0.0000 2.9245
Au 7.8468 0.0000 0.4461
```

Computed properties:
E above lowest polymorph (eV/atom): 0.071
Formation energy (kJ/mol of atoms): 10.0
Calculated total energy (eV/atom): -5.95
Crystal system: monoclinic

Computed, not measured: an optimized crystal structure of CuICl at the PBE-GGA level of DFT.

extended XYZ file:
```
6
Lattice="4.5259 0.0000 0.0000 1.6782 6.5334 0.0000 1.9780 2.1625 6.2134" Properties=species:S:1:pos:R:3 pbc="T T T"
Cu 1.5248 1.7486 0.0104
Cu 6.6573 6.9474 6.2030
I 3.5769 1.8554 4.6206
I 4.6051 6.8406 1.5927
Cl 1.5253 3.6100 1.3862
Cl 6.6567 5.0859 4.8272
```

Computed properties:
E above lowest polymorph (eV/atom): 0.000
Calculated total energy (eV/atom): -2.81
Energy relative to the elements, uncorrected (meV per atom): -312
Crystal system: triclinic

Computed, not measured: an optimized crystal structure of BaFeRu at the PBE-GGA level of DFT.

extended XYZ file:
```
6
Lattice="4.4222 0.0000 0.0000 -0.8114 4.3484 0.0000 -0.2825 -0.3699 8.9648" Properties=species:S:1:pos:R:3 pbc="T T T"
Ba 0.7679 0.9241 2.6297
Ba 2.5604 3.0545 6.3351
Fe 0.8498 0.9942 8.0593
Fe 2.4785 2.9844 0.9054
Ru -0.0007 3.0708 8.9644
Ru 3.3290 0.9078 0.0003
```

Computed properties:
E above lowest polymorph (eV/atom): 0.010
Formation energy (kJ/mol of atoms): 33.0
Calculated total energy (eV/atom): -6.21
Crystal system: triclinic

Computed, not measured: an optimized crystal structure of LiAs2W at the PBE-GGA level of DFT.

extended XYZ file:
```
4
Lattice="0.0000 3.1732 3.1732 3.1732 0.0000 3.1732 3.1732 3.1732 0.0000" Properties=species:S:1:pos:R:3 pbc="T T T"
Li 0.0000 0.0000 0.0000
As 3.1732 3.1732 3.1732
As 4.7599 4.7599 4.7599
W 1.5866 1.5866 1.5866
```

Computed properties:
E above lowest polymorph (eV/atom): 0.791
Formation energy (kJ/mol of atoms): 58.0
Calculated total energy (eV/atom): -5.44
Crystal system: cubic

Computed, not measured: an optimized crystal structure of ZnSnSO2 at the PBE-GGA level of DFT.

extended XYZ file:
```
5
Lattice="3.9145 0.0000 0.0000 0.0000 3.9145 0.0000 0.0000 0.0000 4.9100" Properties=species:S:1:pos:R:3 pbc="T T T"
Zn 0.0000 0.0000 0.0000
Sn 1.9572 1.9572 2.4550
S 0.0000 0.0000 2.4550
O 0.0000 1.9572 0.0000
O 1.9572 0.0000 0.0000
```

Computed properties:
Calculated total energy (eV/atom): -4.12
Energy relative to the elements, uncorrected (meV per atom): -251
Crystal system: tetragonal

Computed, not measured: an optimized crystal structure of NaSiH at the PBE-GGA level of DFT.

extended XYZ file:
```
24
Lattice="11.4950 0.0000 0.0000 0.0000 6.2517 0.0000 0.0000 0.0000 6.4687" Properties=species:S:1:pos:R:3 pbc="T T T"
Na 1.6105 1.5518 1.2058
Na 1.6105 4.6999 4.4401
Na 4.1370 1.5740 4.4401
Na 4.1370 4.6777 1.2058
Na 7.3580 1.5740 5.2630
Na 7.3580 4.6777 2.0286
Na 9.8845 1.5518 2.0286
Na 9.8845 4.6999 5.2630
Si 0.9345 1.5733 4.2223
Si 0.9345 4.6784 0.9879
Si 4.8130 1.5526 0.9879
Si 4.8130 4.6992 4.2223
Si 6.6820 1.5526 2.2464
Si 6.6820 4.6992 5.4808
Si 10.5605 1.5733 5.4808
Si 10.5605 4.6784 2.2464
H 1.9567 1.5725 5.4083
H 1.9567 4.6792 2.1739
H 3.7908 1.5533 2.1739
H 3.7908 4.6984 5.4083
H 7.7042 1.5533 1.0605
H 7.7042 4.6984 4.2948
H 9.5383 1.5725 4.2948
H 9.5383 4.6792 1.0605
```

Computed properties:
E above lowest polymorph (eV/atom): 0.063
Calculated total energy (eV/atom): -3.22
Crystal system: orthorhombic